# 1
This record from Alexandria describes a geometry-optimized ErScMn structure. The functional is PBE.

The structure in POSCAR format:
```
ErScMn
1.0
3.3454 0.0000 0.0000
0.0000 3.3454 0.0000
-1.6727 -1.6727 6.0072
Mn Sc Er
1 1 1
Cartesian
1.6727 1.6727 2.0851
0.0000 0.0000 3.6209
0.0000 0.0000 0.3013
```

Calculated values
ρ = 6.60 g cm⁻³
D(E_F) = 1.58 states/eV/atom
E above lowest polymorph = 0 meV/atom
DFT formation energy = 0.3 eV/f.u.
space-group type = I4mm, No. 107
raw total energy = -6.58 eV per atom


# 2
This record from Alexandria describes a geometry-optimized TbErScMn structure. The functional is PBE.

The structure in POSCAR format:
```
TbErScMn
1.0
5.1845 0.0000 0.0000
2.5923 4.4899 0.0000
2.5923 1.4966 4.2332
Mn Er Tb Sc
1 1 1 1
Cartesian
5.1845 2.9933 2.1166
7.7768 4.4899 3.1749
2.5923 1.4966 1.0583
0.0000 0.0000 0.0000
```

Calculated values
ρ = 7.18 g cm⁻³
D(E_F) = 1.49 states/eV/atom
DFT formation energy = 0.9 eV/f.u.
space-group type = F-43m, No. 216
raw total energy = -5.95 eV per atom